ErSnGePd | PBE | optimized geometry

Cell lengths 4.8954, 4.8954, 4.8954 Å; angles 60.00, 60.00, 60.00 degrees
Positions (direct):
Sn1 0.0000 0.0000 0.0000
Pd1 0.7500 0.7500 0.7500
Er1 0.5000 0.5000 0.5000
Ge1 0.2500 0.2500 0.2500

Computed properties:
The density comes out at 9.31 g/cm³. Its total magnetization is 0.0 μB/f.u. Its space group is F-43m (216). Its density of states at the Fermi level is 0.64 states/eV/atom. The raw total energy comes out at -5.0784 eV/atom.



Hf2ZrRu | PBE | optimized geometry

Cell lengths 7.6844, 7.6844, 6.1672 Å; angles 51.46, 51.46, 90.00 degrees
Positions (direct):
Hf1 0.8750 0.9279 0.7500
Hf2 0.0721 0.6250 0.2500
Hf3 0.3750 0.3221 0.7500
Hf4 0.6779 0.1250 0.2500
Ru1 0.0000 0.0000 0.0000
Ru2 0.7500 0.2500 0.5000
Zr1 0.2500 0.7500 0.5000
Zr2 0.5000 0.5000 0.0000

Computed properties:
The density comes out at 10.59 g/cm³. Its total magnetization is 0.0 μB/f.u. Its space group is I-42d (122). Its density of states at the Fermi level is 0.56 states/eV/atom. The raw total energy comes out at -9.3814 eV/atom.



K2CdRh | PBE | optimized geometry

Cell lengths 6.1573, 6.1573, 3.1210 Å; angles 90.00, 90.00, 90.00 degrees
Positions (direct):
K1 0.0000 0.0000 0.0000
K2 0.5000 0.5000 0.0000
Cd1 0.0000 0.5000 0.5000
Rh1 0.5000 0.0000 0.5000

Computed properties:
The density comes out at 4.12 g/cm³. Its total magnetization is 0.7 μB/f.u. Its space group is P4/mmm (123). Its density of states at the Fermi level is 0.92 states/eV/atom. The raw total energy comes out at -2.0750 eV/atom.



KLa2P2 | PBE | optimized geometry

Cell lengths 8.3431, 8.3431, 3.8795 Å; angles 90.00, 90.00, 90.00 degrees
Positions (direct):
P1 0.3459 0.8459 0.0000
P2 0.1541 0.3459 0.0000
P3 0.8459 0.6541 0.0000
P4 0.6541 0.1541 0.0000
K1 0.5000 0.5000 0.0000
K2 0.0000 0.0000 0.0000
La1 0.3564 0.1436 0.5000
La2 0.1436 0.6436 0.5000
La3 0.8564 0.3564 0.5000
La4 0.6436 0.8564 0.5000

Computed properties:
The density comes out at 4.66 g/cm³. Its total magnetization is 0.0 μB/f.u. Its space group is P4/mbm (127). Its density of states at the Fermi level is 0.68 states/eV/atom. The raw total energy comes out at -5.2990 eV/atom.



SrTbPm | PBE | optimized geometry

Cell lengths 7.4417, 7.4417, 12.3616 Å; angles 46.47, 46.47, 28.98 degrees
Positions (direct):
Tb1 0.6738 0.6738 0.5146
Tb2 0.0843 0.0843 0.8196
Sr1 0.2547 0.2547 0.1725
Sr2 0.8334 0.8334 0.8004
Pm1 0.0033 0.0033 0.1526
Pm2 0.4099 0.4099 0.4623

Computed properties:
The density comes out at 5.58 g/cm³. Its total magnetization is 0.0 μB/f.u. Its space group is Cm (8). Its density of states at the Fermi level is 1.67 states/eV/atom. The raw total energy comes out at -3.5300 eV/atom.



ScInBi | PBE | optimized geometry

Cell lengths 3.2858, 5.3111, 5.3111 Å; angles 120.00, 90.00, 90.00 degrees
Positions (direct):
In1 0.9138 0.0000 0.0000
Sc1 0.3227 0.3333 0.6667
Bi1 0.7635 0.6667 0.3333

Computed properties:
The density comes out at 7.63 g/cm³. Its total magnetization is 0.0 μB/f.u. Its space group is P3m1 (156). Its density of states at the Fermi level is 1.03 states/eV/atom. The raw total energy comes out at -4.4325 eV/atom.



CrMoPb2 | PBE | optimized geometry

Cell lengths 5.7783, 5.7783, 5.7783 Å; angles 138.27, 138.27, 60.49 degrees
Positions (direct):
Pb1 0.2500 0.7500 0.5000
Pb2 0.0000 0.0000 0.0000
Mo1 0.7500 0.2500 0.5000
Cr1 0.5000 0.5000 0.0000

Computed properties:
The density comes out at 11.04 g/cm³. Its total magnetization is 5.3 μB/f.u. Its space group is I-4m2 (119). Its density of states at the Fermi level is 0.97 states/eV/atom. The raw total energy comes out at -6.1433 eV/atom.



Pm2Be3Si4Ir | PBE | optimized geometry

Cell lengths 3.9678, 3.9678, 9.9205 Å; angles 90.00, 90.00, 90.00 degrees
Positions (direct):
Pm1 0.5000 0.0000 0.2414
Pm2 0.0000 0.5000 0.7586
Be1 0.0000 0.0000 0.5000
Be2 0.5000 0.0000 0.8709
Be3 0.0000 0.5000 0.1291
Si1 0.0000 0.0000 0.0000
Si2 0.5000 0.0000 0.6350
Si3 0.0000 0.5000 0.3650
Si4 0.5000 0.5000 0.0000
Ir1 0.5000 0.5000 0.5000

Computed properties:
The value obtained for the formation energy (no corrections) is -532 meV per atom. The density comes out at 6.61 g/cm³. Its total magnetization is 0.0 μB/f.u. Its space group is P-4m2 (115). Its density of states at the Fermi level is 0.57 states/eV/atom. The raw total energy comes out at -5.6549 eV/atom.



Tl2AgRu | PBE | optimized geometry

Cell lengths 4.7510, 4.7510, 5.8291 Å; angles 80.02, 80.02, 39.84 degrees
Positions (direct):
Ru1 0.2500 0.2500 0.2500
Tl1 0.5076 0.5076 0.4842
Tl2 0.9924 0.9924 0.0158
Ag1 0.7500 0.7500 0.7500

Computed properties:
The density comes out at 12.38 g/cm³. Its total magnetization is 0.3 μB/f.u. Its space group is C2/m (12). Its density of states at the Fermi level is 0.63 states/eV/atom. The raw total energy comes out at -3.6960 eV/atom.



EuYTlNi | PBE | optimized geometry

Cell lengths 5.2195, 5.2195, 5.2195 Å; angles 60.00, 60.00, 60.00 degrees
Positions (direct):
Y1 0.7500 0.7500 0.7500
Tl1 0.5000 0.5000 0.5000
Ni1 0.0000 0.0000 0.0000
Eu1 0.2500 0.2500 0.2500

Computed properties:
The density comes out at 8.32 g/cm³. Its total magnetization is 7.0 μB/f.u. Its space group is F-43m (216). Its density of states at the Fermi level is 2.12 states/eV/atom. The raw total energy comes out at -6.3797 eV/atom.



K3Zr4 | PBE | optimized geometry

Cell lengths 5.5851, 5.5851, 7.7390 Å; angles 90.00, 90.00, 120.00 degrees
Positions (direct):
Zr1 0.0000 0.0000 0.6650
Zr2 0.6667 0.3333 0.5000
Zr3 0.0000 0.0000 0.3350
Zr4 0.3333 0.6667 0.5000
K1 0.5000 0.5000 0.0000
K2 0.0000 0.5000 0.0000
K3 0.5000 0.0000 0.0000

Computed properties:
The density comes out at 3.83 g/cm³. Its total magnetization is 0.0 μB/f.u. Its space group is P6/mmm (191). Its density of states at the Fermi level is 1.19 states/eV/atom. The raw total energy comes out at -4.4016 eV/atom.



BiPO3 | PBE | optimized geometry

Cell lengths 3.8712, 3.8712, 3.8712 Å; angles 90.00, 90.00, 90.00 degrees
Positions (direct):
O1 0.5000 0.0000 0.0000
O2 0.0000 0.5000 0.0000
O3 0.0000 0.0000 0.5000
P1 0.0000 0.0000 0.0000
Bi1 0.5000 0.5000 0.5000

Computed properties:
The value obtained for the formation energy (no corrections) is -757 meV per atom. The density comes out at 8.24 g/cm³. Its total magnetization is 0.0 μB/f.u. Its space group is Pm-3m (221). Its density of states at the Fermi level is 0.39 states/eV/atom. The raw total energy comes out at -5.5903 eV/atom.



Which of these has the lowest raw total energy? Hf2ZrRu



Which of these has the highest raw total energy? K2CdRh



Number 9 is which compound? Tl2AgRu